# NaSn2Pb (PBE-GGA, relaxed)
# - DFT total energy: -3.334 eV per atom
# - Total magnetization: 0.000 μB per atom
# - D(E_F): 0.375 states/eV per atom
# - Crystal system: orthorhombic
# - Formation energy from the elements: -0.3 eV/f.u.
data_NaSn2Pb
_chemical_formula_sum 'Na1 Sn2 Pb1'
_space_group_name_H-M_alt 'P 1'
_space_group_IT_number 1
_cell_length_a 3.4715
_cell_length_b 4.9359
_cell_length_c 6.6117
_cell_angle_alpha 90.00
_cell_angle_beta 90.00
_cell_angle_gamma 90.00
loop_
_space_group_symop_operation_xyz
'x,y,z'
loop_
_atom_site_label
_atom_site_fract_x
_atom_site_fract_y
_atom_site_fract_z
Na1 0.0000 0.5000 0.0000
Sn1 0.5000 0.0000 0.2514
Sn2 0.5000 0.0000 0.7486
Pb1 0.0000 0.5000 0.5000

# Mg2ZnNi (PBE-GGA, relaxed)
# - DFT total energy: -2.679 eV per atom
# - Total magnetization: 0.000 μB per atom
# - D(E_F): 0.144 states/eV per atom
# - Crystal system: tetragonal
# - Formation energy from the elements: -0.5 eV/f.u.
data_Mg2ZnNi
_chemical_formula_sum 'Mg2 Zn1 Ni1'
_space_group_name_H-M_alt 'P 1'
_space_group_IT_number 1
_cell_length_a 4.9754
_cell_length_b 4.9754
_cell_length_c 4.9754
_cell_angle_alpha 134.08
_cell_angle_beta 134.08
_cell_angle_gamma 66.96
loop_
_space_group_symop_operation_xyz
'x,y,z'
loop_
_atom_site_label
_atom_site_fract_x
_atom_site_fract_y
_atom_site_fract_z
Ni1 0.5000 0.5000 0.0000
Zn1 0.7500 0.2500 0.5000
Mg1 0.0000 0.0000 0.0000
Mg2 0.2500 0.7500 0.5000

# Cu2Sn2Sb (PBE-GGA, relaxed)
# - DFT total energy: -3.826 eV per atom
# - Total magnetization: 0.000 μB per atom
# - D(E_F): 0.266 states/eV per atom
# - Crystal system: tetragonal
# - Raw formation energy: 0.239 eV per atom
# - ΔE to the lowest computed polymorph: 124 meV/atom
data_Cu2Sn2Sb
_chemical_formula_sum 'Cu2 Sn2 Sb1'
_space_group_name_H-M_alt 'P 1'
_space_group_IT_number 1
_cell_length_a 4.2704
_cell_length_b 4.2704
_cell_length_c 6.6530
_cell_angle_alpha 71.28
_cell_angle_beta 71.28
_cell_angle_gamma 90.00
loop_
_space_group_symop_operation_xyz
'x,y,z'
loop_
_atom_site_label
_atom_site_fract_x
_atom_site_fract_y
_atom_site_fract_z
Sb1 0.0000 0.0000 0.0000
Sn1 0.7500 0.2500 0.5000
Sn2 0.2500 0.7500 0.5000
Cu1 0.3992 0.3992 0.2016
Cu2 0.6008 0.6008 0.7984

# La3Nd4Dy8 (PBE-GGA, relaxed)
# - DFT total energy: -4.363 eV per atom
# - Total magnetization: 0.000 μB per atom
# - D(E_F): 2.012 states/eV per atom
# - Crystal system: monoclinic
# - Formation energy from the elements: 5.2 eV/f.u.
data_La3Nd4Dy8
_chemical_formula_sum 'La3 Nd4 Dy8'
_space_group_name_H-M_alt 'P 1'
_space_group_IT_number 1
_cell_length_a 6.8451
_cell_length_b 9.3844
_cell_length_c 9.3844
_cell_angle_alpha 87.43
_cell_angle_beta 111.39
_cell_angle_gamma 111.39
loop_
_space_group_symop_operation_xyz
'x,y,z'
loop_
_atom_site_label
_atom_site_fract_x
_atom_site_fract_y
_atom_site_fract_z
La1 0.5000 0.5000 0.0000
La2 0.5000 0.0000 0.5000
La3 0.5000 0.5000 0.5000
Nd1 0.5000 0.0000 0.0000
Nd2 0.0000 0.5000 0.0000
Nd3 0.0000 0.0000 0.0000
Nd4 0.0000 0.0000 0.5000
Dy1 0.5255 0.2672 0.2672
Dy2 0.0000 0.6412 0.3588
Dy3 0.0030 0.2678 0.2678
Dy4 0.5000 0.7416 0.2584
Dy5 0.5000 0.2584 0.7416
Dy6 0.9970 0.7322 0.7322
Dy7 0.0000 0.3588 0.6412
Dy8 0.4745 0.7328 0.7328

# Pr3NdTe6 (PBE-GGA, relaxed)
# - DFT total energy: -5.069 eV per atom
# - Total magnetization: 0.000 μB per atom
# - Crystal system: monoclinic
# - Raw formation energy: -1.273 eV per atom
# - ΔE to the lowest computed polymorph: 116 meV/atom
data_Pr3NdTe6
_chemical_formula_sum 'Pr3 Nd1 Te6'
_space_group_name_H-M_alt 'P 1'
_space_group_IT_number 1
_cell_length_a 7.8798
_cell_length_b 8.3250
_cell_length_c 8.3250
_cell_angle_alpha 62.20
_cell_angle_beta 61.87
_cell_angle_gamma 61.87
loop_
_space_group_symop_operation_xyz
'x,y,z'
loop_
_atom_site_label
_atom_site_fract_x
_atom_site_fract_y
_atom_site_fract_z
Pr1 0.3158 0.2501 0.2501
Pr2 0.6842 0.7499 0.7499
Pr3 0.0000 0.0000 0.0000
Nd1 0.5000 0.5000 0.5000
Te1 0.3402 0.1613 0.6605
Te2 0.6598 0.3395 0.8387
Te3 0.6598 0.8387 0.3395
Te4 0.3402 0.6605 0.1613
Te5 0.0820 0.7489 0.7489
Te6 0.9180 0.2511 0.2511

# SiAsI (PBE-GGA, relaxed)
# - DFT total energy: -4.030 eV per atom
# - Total magnetization: 0.000 μB per atom
# - D(E_F): 0.000 states/eV per atom
# - Crystal system: orthorhombic
# - Raw formation energy: -0.155 eV per atom
data_SiAsI
_chemical_formula_sum 'Si4 As4 I4'
_space_group_name_H-M_alt 'P 1'
_space_group_IT_number 1
_cell_length_a 6.3128
_cell_length_b 6.7200
_cell_length_c 9.4987
_cell_angle_alpha 90.00
_cell_angle_beta 90.00
_cell_angle_gamma 90.00
loop_
_space_group_symop_operation_xyz
'x,y,z'
loop_
_atom_site_label
_atom_site_fract_x
_atom_site_fract_y
_atom_site_fract_z
Si1 0.9991 0.0994 0.0932
Si2 0.4991 0.9006 0.9068
Si3 0.9991 0.5994 0.9068
Si4 0.4991 0.4006 0.0932
As1 0.1179 0.4379 0.1179
As2 0.6179 0.5621 0.8821
As3 0.1179 0.9379 0.8821
As4 0.6179 0.0621 0.1179
I1 0.1120 0.9720 0.3289
I2 0.6120 0.0280 0.6711
I3 0.1120 0.4720 0.6711
I4 0.6120 0.5280 0.3289

# NdSmDy4Se8 (PBE-GGA, relaxed)
# - DFT total energy: -5.701 eV per atom
# - Total magnetization: 0.000 μB per atom
# - D(E_F): 0.625 states/eV per atom
# - Crystal system: trigonal
# - Raw formation energy: -1.718 eV per atom
data_NdSmDy4Se8
_chemical_formula_sum 'Nd1 Sm1 Dy4 Se8'
_space_group_name_H-M_alt 'P 1'
_space_group_IT_number 1
_cell_length_a 8.4748
_cell_length_b 8.4748
_cell_length_c 8.5136
_cell_angle_alpha 60.15
_cell_angle_beta 60.15
_cell_angle_gamma 60.00
loop_
_space_group_symop_operation_xyz
'x,y,z'
loop_
_atom_site_label
_atom_site_fract_x
_atom_site_fract_y
_atom_site_fract_z
Nd1 0.3738 0.3738 0.8787
Sm1 0.9994 0.9994 0.0019
Dy1 0.6257 0.6257 0.1228
Dy2 0.9993 0.5025 0.4990
Dy3 0.5025 0.9993 0.4990
Dy4 0.9993 0.9993 0.4990
Se1 0.2436 0.7796 0.7332
Se2 0.7796 0.2436 0.7332
Se3 0.2436 0.2436 0.7332
Se4 0.2384 0.2384 0.2849
Se5 0.7530 0.2313 0.2628
Se6 0.2313 0.7530 0.2628
Se7 0.7530 0.7530 0.2628
Se8 0.7576 0.7576 0.7271

# In2AgRh (PBE-GGA, relaxed)
# - DFT total energy: -4.056 eV per atom
# - Total magnetization: 0.000 μB per atom
# - D(E_F): 0.499 states/eV per atom
# - Crystal system: orthorhombic
# - Formation energy from the elements: -0.5 eV/f.u.
data_In2AgRh
_chemical_formula_sum 'In2 Ag1 Rh1'
_space_group_name_H-M_alt 'P 1'
_space_group_IT_number 1
_cell_length_a 3.3608
_cell_length_b 4.6836
_cell_length_c 4.6844
_cell_angle_alpha 90.00
_cell_angle_beta 90.00
_cell_angle_gamma 90.00
loop_
_space_group_symop_operation_xyz
'x,y,z'
loop_
_atom_site_label
_atom_site_fract_x
_atom_site_fract_y
_atom_site_fract_z
In1 0.0000 0.0000 0.1234
In2 0.0000 0.5000 0.6266
Ag1 0.5000 0.5000 0.1273
Rh1 0.5000 0.0000 0.6227

# AlCd2Se (PBE-GGA, relaxed)
# - DFT total energy: -2.211 eV per atom
# - Total magnetization: 0.000 μB per atom
# - D(E_F): 0.443 states/eV per atom
# - Crystal system: monoclinic
# - Raw formation energy: 0.053 eV per atom
# - ΔE to the lowest computed polymorph: 260 meV/atom
data_AlCd2Se
_chemical_formula_sum 'Al1 Cd2 Se1'
_space_group_name_H-M_alt 'P 1'
_space_group_IT_number 1
_cell_length_a 6.0119
_cell_length_b 2.9007
_cell_length_c 5.8526
_cell_angle_alpha 62.68
_cell_angle_beta 90.00
_cell_angle_gamma 90.00
loop_
_space_group_symop_operation_xyz
'x,y,z'
loop_
_atom_site_label
_atom_site_fract_x
_atom_site_fract_y
_atom_site_fract_z
Al1 0.5000 0.7500 0.7500
Se1 0.5000 0.2500 0.2500
Cd1 0.0000 0.2540 0.0010
Cd2 0.0000 0.2460 0.4990

# Dy3ThNi2 (PBE-GGA, relaxed)
# - DFT total energy: -5.740 eV per atom
# - Total magnetization: 0.000 μB per atom
# - D(E_F): 1.065 states/eV per atom
# - Crystal system: monoclinic
# - Formation energy from the elements: -1.7 eV/f.u.
data_Dy3ThNi2
_chemical_formula_sum 'Dy6 Th2 Ni4'
_space_group_name_H-M_alt 'P 1'
_space_group_IT_number 1
_cell_length_a 3.8689
_cell_length_b 8.3605
_cell_length_c 9.8659
_cell_angle_alpha 76.66
_cell_angle_beta 78.69
_cell_angle_gamma 76.62
loop_
_space_group_symop_operation_xyz
'x,y,z'
loop_
_atom_site_label
_atom_site_fract_x
_atom_site_fract_y
_atom_site_fract_z
Dy1 0.1531 0.9426 0.7512
Dy2 0.8469 0.0574 0.2488
Dy3 0.4211 0.2157 0.9422
Dy4 0.5789 0.7843 0.0578
Dy5 0.5801 0.2789 0.5608
Dy6 0.4199 0.7211 0.4392
Th1 0.8441 0.5610 0.7509
Th2 0.1559 0.4390 0.2491
Ni1 0.2308 0.5946 0.9438
Ni2 0.7692 0.4054 0.0562
Ni3 0.7691 0.9091 0.5526
Ni4 0.2309 0.0909 0.4474

Question: The lowest DFT total energy belongs to which entry?
Answer: Dy3ThNi2

Please write out number 5 again, unchanged.
# Pr3NdTe6 (PBE-GGA, relaxed)
# - DFT total energy: -5.069 eV per atom
# - Total magnetization: 0.000 μB per atom
# - Crystal system: monoclinic
# - Raw formation energy: -1.273 eV per atom
# - ΔE to the lowest computed polymorph: 116 meV/atom
data_Pr3NdTe6
_chemical_formula_sum 'Pr3 Nd1 Te6'
_space_group_name_H-M_alt 'P 1'
_space_group_IT_number 1
_cell_length_a 7.8798
_cell_length_b 8.3250
_cell_length_c 8.3250
_cell_angle_alpha 62.20
_cell_angle_beta 61.87
_cell_angle_gamma 61.87
loop_
_space_group_symop_operation_xyz
'x,y,z'
loop_
_atom_site_label
_atom_site_fract_x
_atom_site_fract_y
_atom_site_fract_z
Pr1 0.3158 0.2501 0.2501
Pr2 0.6842 0.7499 0.7499
Pr3 0.0000 0.0000 0.0000
Nd1 0.5000 0.5000 0.5000
Te1 0.3402 0.1613 0.6605
Te2 0.6598 0.3395 0.8387
Te3 0.6598 0.8387 0.3395
Te4 0.3402 0.6605 0.1613
Te5 0.0820 0.7489 0.7489
Te6 0.9180 0.2511 0.2511